[1]
An optimized crystal structure of ZrTe3, computed with PBE-GGA.

Total magnetic moment: 0.00 μB/cell

Cell lengths 7.445, 7.445, 7.445 Å; angles 90.00, 90.00, 90.00 degrees
Space group Fm-3m (No. 225)
Unique sites:
Zr1 0.000 0.000 0.000 [4 per cell]
Te1 0.000 0.000 0.500 [4 per cell]
Te2 0.250 0.250 0.250 [8 per cell]

---

[2]
An optimized crystal structure of Zr2Te, computed with PBE-GGA.

Total magnetic moment: 0.00 μB/cell

Cell lengths 3.6305, 3.6305, 6.5041 Å; angles 90.00, 90.00, 120.00 degrees
Space group P-3m1 (No. 164)
Unique sites:
Zr1 0.3333 0.6667 0.3239 [2 per cell]
Te1 0.0000 0.0000 0.0000 [1 per cell]

---

[3]
An optimized crystal structure of ZrTe4, computed with PBE-GGA.

Total magnetic moment: 0.00 μB/cell

Cell lengths 6.888, 6.888, 6.888 Å; angles 90.00, 90.00, 90.00 degrees
Space group Im-3m (No. 229)
Unique sites:
Zr1 0.000 0.000 0.000 [2 per cell]
Te1 0.250 0.250 0.250 [8 per cell]

---

[4]
An optimized crystal structure of Zr5Te6, computed with PBE-GGA.

ΔE to the lowest computed polymorph: 13.2 kJ per mole of atoms
Total magnetic moment: 0.00 μB/cell

Cell lengths 7.426, 11.770, 6.864 Å; angles 90.00, 107.02, 90.00 degrees
Space group C2/m (No. 12)
Unique sites:
Zr1 0.000 0.000 0.000 [2 per cell]
Zr2 0.000 0.136 0.500 [4 per cell]
Zr3 0.000 0.291 0.000 [4 per cell]
Te1 0.211 0.500 0.222 [4 per cell]
Te2 0.215 0.345 0.719 [8 per cell]

---

[5]
An optimized crystal structure of ZrTe3, computed with PBE-GGA.

Total magnetic moment: 0.00 μB/cell

Cell lengths 3.7796, 3.7796, 10.1431 Å; angles 90.00, 90.00, 120.00 degrees
Space group P-6m2 (No. 187)
Unique sites:
Zr1 0.0000 0.0000 0.0000 [1 per cell]
Te1 0.0000 0.0000 0.5000 [1 per cell]
Te2 0.3333 0.6667 0.1890 [2 per cell]

---

[6]
An optimized crystal structure of ZrTe5, computed with PBE-GGA.

ΔE to the lowest computed polymorph: 39.5 kJ per mole of atoms
Total magnetic moment: 0.00 μB/cell

Cell lengths 3.992, 15.891, 5.702 Å; angles 90.00, 90.00, 90.00 degrees
Space group Cmmm (No. 65)
Unique sites:
Zr1 0.000 0.000 0.000 [2 per cell]
Te1 0.000 0.137 0.500 [4 per cell]
Te2 0.000 0.358 0.000 [4 per cell]
Te3 0.000 0.500 0.500 [2 per cell]

---

[7]
An optimized crystal structure of Zr2Te, computed with PBE-GGA.

Total magnetic moment: 0.00 μB/cell

Cell lengths 5.902, 4.899, 9.299 Å; angles 90.00, 90.00, 90.00 degrees
Space group Pnma (No. 62)
Unique sites:
Zr1 0.129 0.250 0.215 [4 per cell]
Zr2 0.144 0.250 0.550 [4 per cell]
Te1 0.154 0.250 0.877 [4 per cell]

---

[8]
An optimized crystal structure of Zr2Te, computed with PBE-GGA.

Total magnetic moment: 0.00 μB/cell

Cell lengths 5.710, 5.710, 9.182 Å; angles 90.00, 90.00, 90.00 degrees
Space group I4_1/amd (No. 141, origin choice 2)
Unique sites:
Zr1 0.000 0.250 0.055 [8 per cell]
Te1 0.000 0.250 0.375 [4 per cell]

---

no.,volume (A^3/atom),ΔE_f (raw) (eV/atom),DOS at the Fermi energy (states/eV per cell)
1,25.8,-0.098,13.36
2,24.7,-0.450,0.84
3,32.7,-0.140,8.75
4,26.1,-0.758,16.51
5,31.4,-0.289,4.61
6,30.1,-0.095,6.93
7,22.4,-0.526,10.58
8,24.9,-0.361,5.14